Model P:
The following is a PBE calculation of a relaxed structure of NdHfHg2, from Alexandria via LeMat-Bulk.

The structure belongs to space group P4/mmm (No. 123); the cell edges are 3.5887, 3.5887 and 7.5897 Å and the angles 90.00°, 90.00° and 90.00°. The distinct sites, in fractional coordinates, are Nd at (0.0000, 0.0000, 0.0000), Hf at (0.0000, 0.0000, 0.5000) and Hg at (0.5000, 0.5000, 0.2821).

The density is 12.30 g/cm³. The value obtained for the total magnetic moment is 0.77 μB/f.u.

---

Model Q:
The following is a PBE calculation of a relaxed structure of NdHfHg2, from Alexandria via LeMat-Bulk.

The structure belongs to space group Fm-3m (No. 225); the cell edges are 7.3423, 7.3423 and 7.3423 Å and the angles 90.00°, 90.00° and 90.00°. The distinct sites, in fractional coordinates, are Nd at (0.0000, 0.0000, 0.0000), Hf at (0.0000, 0.0000, 0.5000) and Hg at (0.2500, 0.2500, 0.2500).

The density is 12.15 g/cm³. The value obtained for the total magnetic moment is 1.06 μB/f.u.

---

Quick look at relative energies in meV per atom: model P 0; model Q 68.

---

Model P:
The following is a PBE calculation of a relaxed structure of HfHg3O, from Alexandria via LeMat-Bulk.

The structure belongs to space group Pm-3m (No. 221); the cell edges are 5.5797, 5.5797 and 5.5797 Å and the angles 90.00°, 90.00° and 90.00°. The distinct sites, in fractional coordinates, are Hf at (0.0000, 0.0000, 0.0000), Hg at (0.0000, 0.0000, 0.5000) and O at (0.5000, 0.5000, 0.5000).

The density is 7.61 g/cm³. The value obtained for the total magnetic moment is 0.00 μB/f.u.

---

Model Q:
The following is a PBE calculation of a relaxed structure of HfHg3O, from Alexandria via LeMat-Bulk.

The structure belongs to space group Pm-3m (No. 221); the cell edges are 4.7258, 4.7258 and 4.7258 Å and the angles 90.00°, 90.00° and 90.00°. The distinct sites, in fractional coordinates, are Hf at (0.0000, 0.0000, 0.0000), Hg at (0.0000, 0.5000, 0.5000) and O at (0.5000, 0.5000, 0.5000).

The density is 12.53 g/cm³. The value obtained for the total magnetic moment is 0.00 μB/f.u.

---

Quick look at relative energies in meV per atom: model P 466; model Q 0.

---

Model P:
The following is a PBE calculation of a relaxed structure of Hf2HgO, from Alexandria via LeMat-Bulk.

The structure belongs to space group Fm-3m (No. 225); the cell edges are 6.5751, 6.5751 and 6.5751 Å and the angles 90.00°, 90.00° and 90.00°. The distinct sites, in fractional coordinates, are Hf at (0.2500, 0.2500, 0.2500), Hg at (0.0000, 0.0000, 0.0000) and O at (0.0000, 0.0000, 0.5000).

The density is 13.40 g/cm³. The value obtained for the total magnetic moment is 0.00 μB/f.u.

---

Model Q:
The following is a PBE calculation of a relaxed structure of Hf2HgO, from Alexandria via LeMat-Bulk.

The structure belongs to space group R3m (No. 160, hexagonal axes); the cell edges are 3.3323, 3.3323 and 21.3235 Å and the angles 90.00°, 90.00° and 120.00°. The distinct sites, in fractional coordinates, are Hf at (0.0000, 0.0000, 0.0000), Hf at (0.0000, 0.0000, 0.2204), Hg at (0.0000, 0.0000, 0.4438) and O at (0.0000, 0.0000, 0.6119).

The density is 13.93 g/cm³. The value obtained for the total magnetic moment is 0.00 μB/f.u.

---

Model R:
The following is a PBE calculation of a relaxed structure of Hf2HgO, from Alexandria via LeMat-Bulk.

The structure belongs to space group I-42d (No. 122); the cell edges are 5.4584, 5.4584 and 11.3586 Å and the angles 90.00°, 90.00° and 90.00°. The distinct sites, in fractional coordinates, are Hf at (0.1284, 0.2500, 0.1250), Hg at (0.0000, 0.0000, 0.5000) and O at (0.0000, 0.0000, 0.0000).

The density is 11.26 g/cm³. The value obtained for the total magnetic moment is 0.00 μB/f.u.

---

Quick look at relative energies in meV per atom: model P 978; model Q 0; model R 239.

---

Model P:
The following is a PBE calculation of a relaxed structure of Hf2HgP2, from Alexandria via LeMat-Bulk.

The structure belongs to space group P4/mbm (No. 127); the cell edges are 7.3839, 7.3839 and 3.3524 Å and the angles 90.00°, 90.00° and 90.00°. The distinct sites, in fractional coordinates, are Hf at (0.1498, 0.3502, 0.0000), Hg at (0.0000, 0.0000, 0.5000) and P at (0.1388, 0.6388, 0.5000).

The density is 11.26 g/cm³. The value obtained for the total magnetic moment is 0.00 μB/f.u.

---

Model Q:
The following is a PBE calculation of a relaxed structure of Hf2HgP2, from Alexandria via LeMat-Bulk.

The structure belongs to space group P4/mbm (No. 127); the cell edges are 7.4662, 7.4662 and 3.3799 Å and the angles 90.00°, 90.00° and 90.00°. The distinct sites, in fractional coordinates, are Hf at (0.1446, 0.3554, 0.0000), Hg at (0.0000, 0.0000, 0.0000) and P at (0.1436, 0.6436, 0.5000).

The density is 10.92 g/cm³. The value obtained for the total magnetic moment is 0.00 μB/f.u.

---

Quick look at relative energies in meV per atom: model P 39; model Q 0.

---

Model P:
The following is a PBE calculation of a relaxed structure of HfPaHg, from Alexandria via LeMat-Bulk.

The structure belongs to space group P-6m2 (No. 187); the cell edges are 5.1403, 5.1403 and 3.1258 Å and the angles 90.00°, 90.00° and 120.00°. The distinct sites, in fractional coordinates, are Hf at (0.0000, 0.0000, 0.0000), Pa at (0.6667, 0.3333, 0.5000) and Hg at (0.3333, 0.6667, 0.0000).

The density is 14.16 g/cm³. The value obtained for the total magnetic moment is 0.61 μB/f.u.

---

Model Q:
The following is a PBE calculation of a relaxed structure of HfPaHg, from Alexandria via LeMat-Bulk.

The structure belongs to space group P4/nmm (No. 129, origin choice 2); the cell edges are 3.1444, 3.1444 and 14.0087 Å and the angles 90.00°, 90.00° and 90.00°. The distinct sites, in fractional coordinates, are Hf at (0.2500, 0.2500, 0.2387), Pa at (0.2500, 0.2500, 0.5914) and Hg at (0.2500, 0.2500, 0.9163).

The density is 14.63 g/cm³. The value obtained for the total magnetic moment is 0.00 μB/f.u.

---

Quick look at relative energies in meV per atom: model P 192; model Q 0.

---

Model P:
The following is a PBE calculation of a relaxed structure of HfPa2Hg, from Alexandria via LeMat-Bulk.

The structure belongs to space group P4/mmm (No. 123); the cell edges are 4.3106, 4.3106 and 5.0261 Å and the angles 90.00°, 90.00° and 90.00°. The distinct sites, in fractional coordinates, are Hf at (0.0000, 0.0000, 0.0000), Pa at (0.0000, 0.5000, 0.5000) and Hg at (0.5000, 0.5000, 0.0000).

The density is 14.96 g/cm³. The value obtained for the total magnetic moment is 0.00 μB/f.u.

---

Model Q:
The following is a PBE calculation of a relaxed structure of HfPa2Hg, from Alexandria via LeMat-Bulk.

The structure belongs to space group P4/mmm (No. 123); the cell edges are 3.9613, 3.9613 and 6.3799 Å and the angles 90.00°, 90.00° and 90.00°. The distinct sites, in fractional coordinates, are Hf at (0.0000, 0.0000, 0.0000), Pa at (0.5000, 0.5000, 0.2641) and Hg at (0.0000, 0.0000, 0.5000).

The density is 13.95 g/cm³. The value obtained for the total magnetic moment is 0.00 μB/f.u.

---

Quick look at relative energies in meV per atom: model P 0; model Q 257.

---

Model P:
The following is a PBE calculation of a relaxed structure of HfPaHg2, from Alexandria via LeMat-Bulk.

The structure belongs to space group Fm-3m (No. 225); the cell edges are 7.2686, 7.2686 and 7.2686 Å and the angles 90.00°, 90.00° and 90.00°. The distinct sites, in fractional coordinates, are Hf at (0.0000, 0.0000, 0.0000), Pa at (0.0000, 0.0000, 0.5000) and Hg at (0.2500, 0.2500, 0.2500).

The density is 14.02 g/cm³. The value obtained for the total magnetic moment is 2.81 μB/f.u.

---

Model Q:
The following is a PBE calculation of a relaxed structure of HfPaHg2, from Alexandria via LeMat-Bulk.

The structure belongs to space group P4/mmm (No. 123); the cell edges are 3.1711, 3.1711 and 8.9528 Å and the angles 90.00°, 90.00° and 90.00°. The distinct sites, in fractional coordinates, are Hf at (0.0000, 0.0000, 0.0000), Pa at (0.0000, 0.0000, 0.5000) and Hg at (0.5000, 0.5000, 0.2328).

The density is 14.95 g/cm³. The value obtained for the total magnetic moment is 0.51 μB/f.u.

---

Quick look at relative energies in meV per atom: model P 160; model Q 0.

---

Model P:
The following is a PBE calculation of a relaxed structure of Hf2HgPb, from Alexandria via LeMat-Bulk.

The structure belongs to space group R-3m (No. 166, hexagonal axes); the cell edges are 3.8638, 3.8638 and 22.8018 Å and the angles 90.00°, 90.00° and 120.00°. The distinct sites, in fractional coordinates, are Hf at (0.0000, 0.0000, 0.2503), Hg at (0.0000, 0.0000, 0.0000) and Pb at (0.0000, 0.0000, 0.5000).

The density is 12.92 g/cm³. The value obtained for the total magnetic moment is 0.00 μB/f.u.

---

Model Q:
The following is a PBE calculation of a relaxed structure of Hf2HgPb, from Alexandria via LeMat-Bulk.

The structure belongs to space group I-42d (No. 122); the cell edges are 7.9008, 7.9008 and 6.1810 Å and the angles 90.00°, 90.00° and 90.00°. The distinct sites, in fractional coordinates, are Hf at (0.2417, 0.2500, 0.1250), Hg at (0.0000, 0.0000, 0.0000) and Pb at (0.0000, 0.0000, 0.5000).

The density is 13.17 g/cm³. The value obtained for the total magnetic moment is 0.00 μB/f.u.

---

Model R:
The following is a PBE calculation of a relaxed structure of Hf2HgPb, from Alexandria via LeMat-Bulk.

The structure belongs to space group Fm-3m (No. 225); the cell edges are 7.1054, 7.1054 and 7.1054 Å and the angles 90.00°, 90.00° and 90.00°. The distinct sites, in fractional coordinates, are Hf at (0.2500, 0.2500, 0.2500), Hg at (0.0000, 0.0000, 0.0000) and Pb at (0.0000, 0.0000, 0.5000).

The density is 14.16 g/cm³. The value obtained for the total magnetic moment is 0.00 μB/f.u.

---

Quick look at relative energies in meV per atom: model P 121; model Q 101; model R 0.

---

Model P:
The following is a PBE calculation of a relaxed structure of Hf2HgPb, from Alexandria via LeMat-Bulk.

The structure belongs to space group P4/mmm (No. 123); the cell edges are 3.1878, 3.1878 and 8.7736 Å and the angles 90.00°, 90.00° and 90.00°. The distinct sites, in fractional coordinates, are Hf at (0.0000, 0.0000, 0.2376), Hg at (0.5000, 0.5000, 0.0000) and Pb at (0.5000, 0.5000, 0.5000).

The density is 14.24 g/cm³. The value obtained for the total magnetic moment is 0.00 μB/f.u.

---

Model Q:
The following is a PBE calculation of a relaxed structure of Hf2HgPb, from Alexandria via LeMat-Bulk.

The structure belongs to space group P4/mmm (No. 123); the cell edges are 4.5188, 4.5188 and 4.3331 Å and the angles 90.00°, 90.00° and 90.00°. The distinct sites, in fractional coordinates, are Hf at (0.0000, 0.5000, 0.0000), Hg at (0.0000, 0.0000, 0.5000) and Pb at (0.5000, 0.5000, 0.5000).

The density is 14.35 g/cm³. The value obtained for the total magnetic moment is 0.00 μB/f.u.

---

Quick look at relative energies in meV per atom: model P 29; model Q 0.

---

Model P:
The following is a PBE calculation of a relaxed structure of Hf3HgPb, from Alexandria via LeMat-Bulk.

The structure belongs to space group Pm-3m (No. 221); the cell edges are 5.2226, 5.2226 and 5.2226 Å and the angles 90.00°, 90.00° and 90.00°. The distinct sites, in fractional coordinates, are Hf at (0.0000, 0.0000, 0.5000), Hg at (0.0000, 0.0000, 0.0000) and Pb at (0.5000, 0.5000, 0.5000).

The density is 11.00 g/cm³. The value obtained for the total magnetic moment is 0.00 μB/f.u.

---

Model Q:
The following is a PBE calculation of a relaxed structure of Hf3HgPb, from Alexandria via LeMat-Bulk.

The structure belongs to space group Pm-3m (No. 221); the cell edges are 5.3071, 5.3071 and 5.3071 Å and the angles 90.00°, 90.00° and 90.00°. The distinct sites, in fractional coordinates, are Hf at (0.0000, 0.0000, 0.5000), Hg at (0.5000, 0.5000, 0.5000) and Pb at (0.0000, 0.0000, 0.0000).

The density is 10.48 g/cm³. The value obtained for the total magnetic moment is 0.00 μB/f.u.

---

Quick look at relative energies in meV per atom: model P 0; model Q 384.

---

Model P:
The following is a PBE calculation of a relaxed structure of HfHgPb3, from Alexandria via LeMat-Bulk.

The structure belongs to space group Pm-3m (No. 221); the cell edges are 5.5904, 5.5904 and 5.5904 Å and the angles 90.00°, 90.00° and 90.00°. The distinct sites, in fractional coordinates, are Hf at (0.0000, 0.0000, 0.0000), Hg at (0.5000, 0.5000, 0.5000) and Pb at (0.0000, 0.5000, 0.5000).

The density is 9.51 g/cm³. The value obtained for the total magnetic moment is 0.00 μB/f.u.

---

Model Q:
The following is a PBE calculation of a relaxed structure of HfHgPb3, from Alexandria via LeMat-Bulk.

The structure belongs to space group Pm-3m (No. 221); the cell edges are 5.6677, 5.6677 and 5.6677 Å and the angles 90.00°, 90.00° and 90.00°. The distinct sites, in fractional coordinates, are Hf at (0.0000, 0.0000, 0.0000), Hg at (0.5000, 0.5000, 0.5000) and Pb at (0.0000, 0.0000, 0.5000).

The density is 9.13 g/cm³. The value obtained for the total magnetic moment is 0.00 μB/f.u.

---

Quick look at relative energies in meV per atom: model P 658; model Q 0.

---

Model P:
The following is a PBE calculation of a relaxed structure of HfHg2Pd8, from Alexandria via LeMat-Bulk.

The structure belongs to space group C2/m (No. 12); the cell edges are 7.2463, 13.0963 and 4.6447 Å and the angles 90.00°, 116.72° and 90.00°. The distinct sites, in fractional coordinates, are Hf at (0.0000, 0.0000, 0.0000), Hg at (0.0000, 0.3043, 0.5000), Pd at (0.0000, 0.1974, 0.0000), Pd at (0.1010, 0.5000, 0.8106) and Pd at (0.2065, 0.1054, 0.6296).

The density is 12.07 g/cm³. The value obtained for the total magnetic moment is 0.00 μB/f.u.

---

Model Q:
The following is a PBE calculation of a relaxed structure of HfHg2Pd8, from Alexandria via LeMat-Bulk.

The structure belongs to space group P-1 (No. 2); the cell edges are 4.9555, 4.9564 and 7.6042 Å and the angles 91.51°, 96.25° and 98.74°. The distinct sites, in fractional coordinates, are Hf at (0.0000, 0.0000, 0.0000), Hg at (0.1857, 0.3796, 0.7174), Pd at (0.0977, 0.1712, 0.3533), Pd at (0.2694, 0.5431, 0.0881), Pd at (0.3646, 0.7337, 0.4546) and Pd at (0.4491, 0.9184, 0.8202).

The density is 12.96 g/cm³. The value obtained for the total magnetic moment is 0.00 μB/f.u.

---

Quick look at relative energies in meV per atom: model P 119; model Q 0.